VASP calculation (SCAN) on LiCu2Au at its PBEsol-relaxed geometry.

Lattice parameters (Å, degrees): 3.653 3.653 4.634 113.22 113.22 90.00
Sites, in units of the cell vectors:
Au  0.000  0.000  0.000
Li  0.500  0.500  0.000
Cu  0.750  0.250  0.500
Cu  0.250  0.750  0.500

Summary:
- Electronic total energy: -102.92 eV per cell
- Excess energy over the best structure of this formula in the dataset: 0.002 eV/atom
- V: 51.3 Å³ per cell

=====

VASP calculation (SCAN) on LiCu2Au at its PBEsol-relaxed geometry.

Lattice parameters (Å, degrees): 3.673 3.673 3.786 90.00 90.00 90.00
Sites, in units of the cell vectors:
Li  0.500  0.500  0.500
Cu  0.500  0.000  0.000
Cu  0.000  0.500  0.000
Au  0.000  0.000  0.500

Summary:
- Electronic total energy: -102.93 eV per cell
- Excess energy over the best structure of this formula in the dataset: 0.000 eV/atom
- V: 51.1 Å³ per cell

=====

VASP calculation (SCAN) on LiCu2Au at its PBEsol-relaxed geometry.

Lattice parameters (Å, degrees): 3.721 3.721 4.554 114.12 114.12 90.00
Sites, in units of the cell vectors:
Au  0.750  0.250  0.500
Cu  0.500  0.500  0.000
Cu  0.250  0.750  0.500
Li  0.000  0.000  0.000

Summary:
- Electronic total energy: -102.89 eV per cell
- Excess energy over the best structure of this formula in the dataset: 0.008 eV/atom
- V: 51.5 Å³ per cell

=====

VASP calculation (SCAN) on LiCu2PbAu at its PBEsol-relaxed geometry.

Lattice parameters (Å, degrees): 4.495 4.760 4.760 90.00 90.00 90.00
Sites, in units of the cell vectors:
Cu  0.000  0.000  0.500
Cu  0.000  0.500  0.000
Au  0.000  0.000  0.000
Li  0.500  0.000  0.000
Pb  0.500  0.500  0.500

Summary:
- Electronic total energy: -176.40 eV per cell
- V: 101.9 Å³ per cell

=====

VASP calculation (SCAN) on Lu2CuAu at its PBEsol-relaxed geometry.

Lattice parameters (Å, degrees): 4.818 4.818 4.818 60.00 60.00 60.00
Sites, in units of the cell vectors:
Au  0.500  0.500  0.500
Lu  0.250  0.250  0.250
Lu  0.750  0.750  0.750
Cu  0.000  0.000  0.000

Summary:
- Electronic total energy: -198.12 eV per cell
- V: 79.1 Å³ per cell

=====

VASP calculation (SCAN) on Mg2Cu2Au at its PBEsol-relaxed geometry.

Lattice parameters (Å, degrees): 3.807 3.807 6.269 107.68 107.68 90.00
Sites, in units of the cell vectors:
Mg  0.250  0.750  0.500
Mg  0.750  0.250  0.500
Cu  0.402  0.402  0.804
Cu  0.598  0.598  0.196
Au  0.000  0.000  0.000

Summary:
- Electronic total energy: -108.61 eV per cell
- V: 82.1 Å³ per cell

=====

Question: The lowest V belongs to which entry?
Answer: number 2

=====

Question: The highest V belongs to which entry?
Answer: LiCu2PbAu